(1)
Entry from Alexandria: an optimized crystal structure of TbTh2Sn2 (PBE).

Results
For the distance to the lowest polymorph of the same formula, the calculation gives 0.000 eV/f.u. As for the total energy: -6.071 eV/atom. The formation energy comes out at -576 meV/atom. Its space group is P4/mbm, No. 127.

Unit cell a=8.2411 b=8.2411 c=4.4424 alpha=90.00 beta=90.00 gamma=90.00
Atoms (fractional coordinates):
1 Tb 0.0000 0.0000 0.0000
2 Tb 0.5000 0.5000 0.0000
3 Th 0.1701 0.3299 0.5000
4 Th 0.3299 0.8299 0.5000
5 Th 0.6701 0.1701 0.5000
6 Th 0.8299 0.6701 0.5000
7 Sn 0.1323 0.6323 0.0000
8 Sn 0.3677 0.1323 0.0000
9 Sn 0.6323 0.8677 0.0000
10 Sn 0.8677 0.3677 0.0000

(2)
Entry from Alexandria: an optimized crystal structure of Nd12In6Ga (PBE).

Results
As for the total energy: -4.304 eV/atom. The formation energy comes out at -269 meV/atom. Its space group is R-3, No. 148.

Unit cell a=8.4048 b=8.4048 c=8.4048 alpha=92.10 beta=92.10 gamma=92.10
Atoms (fractional coordinates):
1 Nd 0.0433 0.9410 0.3070
2 Nd 0.0590 0.6930 0.9567
3 Nd 0.1504 0.4857 0.3864
4 Nd 0.3070 0.0433 0.9410
5 Nd 0.3864 0.1504 0.4857
6 Nd 0.4857 0.3864 0.1504
7 Nd 0.5143 0.6136 0.8496
8 Nd 0.6136 0.8496 0.5143
9 Nd 0.6930 0.9567 0.0590
10 Nd 0.8496 0.5143 0.6136
11 Nd 0.9410 0.3070 0.0433
12 Nd 0.9567 0.0590 0.6930
13 In 0.2058 0.3718 0.7645
14 In 0.2355 0.7942 0.6282
15 In 0.3718 0.7645 0.2058
16 In 0.6282 0.2355 0.7942
17 In 0.7645 0.2058 0.3718
18 In 0.7942 0.6282 0.2355
19 Ga 0.5000 0.5000 0.5000

(3)
Entry from Alexandria: an optimized crystal structure of ThMg2NpO8 (PBE).

Results
As for the total energy: -7.964 eV/atom. As for the raw formation energy: -2.70 eV/atom. Its space group is Cmmm, No. 65.

Unit cell a=4.7256 b=4.7256 c=7.1151 alpha=90.00 beta=90.00 gamma=90.55
Atoms (fractional coordinates):
1 Th 0.0000 0.0000 0.0000
2 Mg 0.5000 0.5000 0.2584
3 Mg 0.5000 0.5000 0.7416
4 Np 0.0000 0.0000 0.5000
5 O 0.1934 0.8066 0.2745
6 O 0.1934 0.8066 0.7255
7 O 0.2936 0.2936 0.5000
8 O 0.3280 0.3280 0.0000
9 O 0.6720 0.6720 0.0000
10 O 0.7064 0.7064 0.5000
11 O 0.8066 0.1934 0.2745
12 O 0.8066 0.1934 0.7255

(4)
Entry from Alexandria: an optimized crystal structure of Mg2H7Rh2 (PBE).

Results
As for the total energy: -3.915 eV/atom. Its space group is C2/m, No. 12.

Unit cell a=5.2901 b=5.2901 c=4.0940 alpha=99.21 beta=99.21 gamma=116.88
Atoms (fractional coordinates):
1 Mg 0.1955 0.8045 0.0000
2 Mg 0.8045 0.1955 0.0000
3 H 0.0599 0.0599 0.2978
4 H 0.0624 0.4311 0.7007
5 H 0.4311 0.0624 0.7007
6 H 0.5000 0.5000 0.5000
7 H 0.5689 0.9376 0.2993
8 H 0.9376 0.5689 0.2993
9 H 0.9401 0.9401 0.7022
10 Rh 0.2663 0.2663 0.7190
11 Rh 0.7337 0.7337 0.2810

(5)
Entry from Alexandria: an optimized crystal structure of Zr2ScHgH (PBE).

Results
For the distance to the lowest polymorph of the same formula, the calculation gives 0.000 eV/f.u. As for the total energy: -5.706 eV/atom. Its space group is P4/mmm, No. 123.

Unit cell a=4.4271 b=4.4271 c=4.5338 alpha=90.00 beta=90.00 gamma=90.00
Atoms (fractional coordinates):
1 Zr 0.0000 0.5000 0.0000
2 Zr 0.5000 0.0000 0.0000
3 Sc 0.0000 0.0000 0.5000
4 Hg 0.5000 0.5000 0.5000
5 H 0.0000 0.0000 0.0000

(6)
Entry from Alexandria: an optimized crystal structure of Tc2RuBr (PBE).

Results
For the distance to the lowest polymorph of the same formula, the calculation gives 1.082 eV/f.u. As for the total energy: -7.133 eV/atom. As for the raw formation energy: 0.79 eV/atom. Its space group is Immm, No. 71.

Unit cell a=2.9653 b=4.4461 c=9.1729 alpha=90.00 beta=90.00 gamma=90.00
Atoms (fractional coordinates):
1 Tc 0.0000 0.0000 0.2300
2 Tc 0.0000 0.0000 0.7700
3 Tc 0.5000 0.5000 0.2700
4 Tc 0.5000 0.5000 0.7300
5 Ru 0.0000 0.5000 0.0000
6 Ru 0.5000 0.0000 0.5000
7 Br 0.0000 0.5000 0.5000
8 Br 0.5000 0.0000 0.0000